First-principles (PBE+U) data for a relaxed MgMnGa2O6 crystal, as listed in Alexandria via LeMat-Bulk.

Geometry as CIF:
```
data_MgMnGa2O6
_cell_length_a 5.0551
_cell_length_b 5.0551
_cell_length_c 13.6703
_cell_angle_alpha 90.00
_cell_angle_beta 90.00
_cell_angle_gamma 120.00
_symmetry_space_group_name_H-M 'R 3'
_symmetry_Int_Tables_number 146
_symmetry_space_group_name_Hall 'R 3'
loop_
_atom_site_label
_atom_site_type_symbol
_atom_site_fract_x
_atom_site_fract_y
_atom_site_fract_z
Mg1 Mg 0.0000 0.0000 0.0000
Mn1 Mn 0.0000 0.0000 0.4881
Ga1 Ga 0.0000 0.0000 0.2829
Ga2 Ga 0.0000 0.0000 0.7909
O1 O 0.0125 0.7133 0.3962
O2 O 0.0252 0.3476 0.5581
```

Properties
Density, g/cm³: 5.18
Electronic total energy, eV per atom: -6.3570
Crystal system: trigonal